The following is a DFT calculation (PBE) of a relaxed Sr3OsS crystal.

a = 5.5537 Å, b = 5.5537 Å, c = 5.5537 Å
α = 90.00°, β = 90.00°, γ = 90.00°
Last column: nearest neighbours and their distance in Å.
Atoms (fractional coordinates):
Os1 0.5000 0.5000 0.5000  12 Sr 3.93
Sr1 0.5000 0.0000 0.0000  2 S 2.78
Sr2 0.0000 0.0000 0.5000  2 S 2.78
Sr3 0.0000 0.5000 0.0000  2 S 2.78
S1 0.0000 0.0000 0.0000  6 Sr 2.78

Results
Size of the total moment, Bohr magnetons per cell: 0.71
Crystal system: cubic
E_tot, eV per atom: -3.987

The following is a DFT calculation (PBE) of a relaxed InW crystal.

a = 3.1844 Å, b = 3.2189 Å, c = 8.1432 Å
α = 78.30°, β = 90.00°, γ = 90.00°
Last column: nearest neighbours and their distance in Å.
Atoms (fractional coordinates):
In1 0.5000 0.9580 0.7049  5 W 2.98-3.32, 6 In 3.15-3.22
In2 0.0000 0.7920 0.0451  5 W 2.98-3.32, 6 In 3.15-3.22
W1 0.5000 0.1658 0.2890  4 W 2.63-2.66
W2 0.0000 0.5842 0.4610  4 W 2.63-2.66

Results
Size of the total moment, Bohr magnetons per cell: 0.00
Excess energy over the best structure of this formula in the dataset, eV per atom: 0.0000
ΔE_f, eV per atom: 0.402
Crystal system: monoclinic
E_tot, eV per atom: -7.444

The following is a DFT calculation (PBE) of a relaxed ErPuCdBi crystal.

a = 5.3890 Å, b = 5.3890 Å, c = 5.3890 Å
α = 60.00°, β = 60.00°, γ = 60.00°
Last column: nearest neighbours and their distance in Å.
Atoms (fractional coordinates):
Bi1 0.2500 0.2500 0.2500  4 Er 3.30, 4 Pu 3.30
Er1 0.0000 0.0000 0.0000  4 Cd 3.30, 4 Bi 3.30
Pu1 0.5000 0.5000 0.5000  4 Bi 3.30, 4 Cd 3.30
Cd1 0.7500 0.7500 0.7500  4 Er 3.30, 4 Pu 3.30

Results
Size of the total moment, Bohr magnetons per cell: 6.83
ΔE_f, eV per atom: -0.255
Crystal system: cubic
E_tot, eV per atom: -6.177

The following is a DFT calculation (PBE) of a relaxed CsMgRhCl6 crystal.

a = 6.3726 Å, b = 6.3726 Å, c = 7.9024 Å
α = 90.00°, β = 90.00°, γ = 60.00°
Last column: nearest neighbours and their distance in Å.
Atoms (fractional coordinates):
Cl1 0.6429 0.9824 0.3269  1 Rh 2.37, 1 Mg 2.52
Cl2 0.9824 0.6429 0.6731  1 Rh 2.37, 1 Mg 2.52
Cl3 0.9824 0.3747 0.3269  1 Rh 2.37, 1 Mg 2.52
Cl4 0.6428 0.3747 0.6731  1 Rh 2.37, 1 Mg 2.52
Cl5 0.3747 0.6429 0.3268  1 Rh 2.37, 1 Mg 2.52
Cl6 0.3747 0.9824 0.6731  1 Rh 2.37, 1 Mg 2.52
Cs1 0.0000 0.0000 0.0000  6 Cl 3.48
Mg1 0.3333 0.3333 0.5000  6 Cl 2.52
Rh1 0.6666 0.6667 0.5000  6 Cl 2.37

Results
Size of the total moment, Bohr magnetons per cell: 0.00
Crystal system: trigonal
E_tot, eV per atom: -3.674

The following is a DFT calculation (PBE) of a relaxed Mg2FeW crystal.

a = 5.2173 Å, b = 5.2173 Å, c = 5.2173 Å
α = 138.13°, β = 138.13°, γ = 60.71°
Last column: nearest neighbours and their distance in Å.
Atoms (fractional coordinates):
Fe1 0.7500 0.2500 0.5000  4 W 2.64, 8 Mg 2.92
Mg1 0.0000 0.0000 0.0000  4 Mg 2.64, 4 Fe 2.92, 4 W 2.92
Mg2 0.5000 0.5000 0.0000  4 Mg 2.64, 4 W 2.92, 4 Fe 2.92
W1 0.2500 0.7500 0.5000  4 Fe 2.64, 8 Mg 2.92

Results
Size of the total moment, Bohr magnetons per cell: 0.84
Excess energy over the best structure of this formula in the dataset, eV per atom: 0.3544
ΔE_f, eV per atom: 0.539
Crystal system: tetragonal
E_tot, eV per atom: -5.612

The following is a DFT calculation (PBE) of a relaxed CdSn6Pb12 crystal.

a = 8.8473 Å, b = 8.8473 Å, c = 8.8473 Å
α = 96.78°, β = 96.78°, γ = 96.78°
Last column: nearest neighbours and their distance in Å.
Atoms (fractional coordinates):
Pb1 0.0400 0.8663 0.3106  1 Cd 3.12, 3 Sn 3.22-3.26, 1 Pb 3.48
Pb2 0.8109 0.5207 0.3820  4 Sn 3.17-3.51, 3 Pb 3.47-3.48
Pb3 0.9600 0.1337 0.6894  1 Cd 3.12, 3 Sn 3.22-3.26, 1 Pb 3.48
Pb4 0.4793 0.6180 0.1891  4 Sn 3.17-3.51, 3 Pb 3.47-3.48
Pb5 0.1337 0.6894 0.9600  1 Cd 3.12, 3 Sn 3.22-3.26, 1 Pb 3.48
Pb6 0.5207 0.3820 0.8109  4 Sn 3.17-3.51, 3 Pb 3.47-3.48
Pb7 0.6180 0.1891 0.4793  4 Sn 3.17-3.51, 3 Pb 3.47-3.48
Pb8 0.1891 0.4793 0.6180  4 Sn 3.17-3.51, 3 Pb 3.47-3.48
Pb9 0.8663 0.3106 0.0400  1 Cd 3.12, 3 Sn 3.22-3.26, 1 Pb 3.48
Pb10 0.6894 0.9600 0.1337  1 Cd 3.12, 3 Sn 3.22-3.26, 1 Pb 3.48
Pb11 0.3820 0.8109 0.5207  4 Sn 3.17-3.51, 3 Pb 3.47-3.48
Pb12 0.3106 0.0400 0.8663  1 Cd 3.12, 3 Sn 3.22-3.26, 1 Pb 3.48
Sn1 0.1421 0.5236 0.2654  7 Pb 3.17-3.51
Sn2 0.2654 0.1421 0.5236  7 Pb 3.17-3.51
Sn3 0.8579 0.4764 0.7346  7 Pb 3.17-3.51
Sn4 0.7346 0.8579 0.4764  7 Pb 3.17-3.51
Sn5 0.5236 0.2654 0.1421  7 Pb 3.17-3.51
Sn6 0.4764 0.7346 0.8579  7 Pb 3.17-3.51
Cd1 0.0000 0.0000 0.0000  6 Pb 3.12

Results
Size of the total moment, Bohr magnetons per cell: 0.00
ΔE_f, eV per atom: 0.125
Crystal system: trigonal
E_tot, eV per atom: -3.529

The following is a DFT calculation (PBE) of a relaxed LiCa2SnF crystal.

a = 4.8587 Å, b = 4.8587 Å, c = 4.3959 Å
α = 90.00°, β = 90.00°, γ = 90.00°
Last column: nearest neighbours and their distance in Å.
Atoms (fractional coordinates):
Ca1 0.5000 0.0000 0.0000  2 F 2.43
Ca2 0.0000 0.5000 0.0000  2 F 2.43
Sn1 0.5000 0.5000 0.5000  8 Ca 3.28, 4 Li 3.44
F1 0.0000 0.0000 0.0000  2 Li 2.20, 4 Ca 2.43
Li1 0.0000 0.0000 0.5000  2 F 2.20

Results
Size of the total moment, Bohr magnetons per cell: 0.00
Crystal system: tetragonal
E_tot, eV per atom: -3.841

The following is a DFT calculation (PBE) of a relaxed Rb2OsO5 crystal.

a = 3.8599 Å, b = 6.5123 Å, c = 6.5123 Å
α = 90.00°, β = 90.00°, γ = 90.00°
Last column: nearest neighbours and their distance in Å.
Atoms (fractional coordinates):
Rb1 0.5000 0.5000 0.0000  10 O 3.04-3.26
Rb2 0.5000 0.0000 0.5000  10 O 3.04-3.26
O1 0.0000 0.8000 0.2000  1 Os 1.84
O2 0.0000 0.2000 0.2000  1 Os 1.84
O3 0.0000 0.2000 0.8000  1 Os 1.84
O4 0.0000 0.8000 0.8000  1 Os 1.84
O5 0.5000 0.0000 0.0000  2 Os 1.93
Os1 0.0000 0.0000 0.0000  6 O 1.84-1.93

Results
Size of the total moment, Bohr magnetons per cell: 0.00
Excess energy over the best structure of this formula in the dataset, eV per atom: 0.0929
Crystal system: tetragonal
E_tot, eV per atom: -5.997

The following is a DFT calculation (PBE) of a relaxed InBi2Sb crystal.

a = 6.8531 Å, b = 6.8531 Å, c = 8.8520 Å
α = 67.23°, β = 67.23°, γ = 90.00°
Last column: nearest neighbours and their distance in Å.
Atoms (fractional coordinates):
Bi1 0.3750 0.3799 0.7500  2 In 3.03, 2 Sb 3.07
Bi2 0.6201 0.1250 0.2500  2 In 3.03, 2 Sb 3.07
Bi3 0.8750 0.8701 0.7500  2 In 3.03, 2 Sb 3.07
Bi4 0.1299 0.6250 0.2500  2 In 3.03, 2 Sb 3.07
In1 0.2500 0.7500 0.5000  4 Bi 3.03
In2 0.5000 0.5000 0.0000  4 Bi 3.03
Sb1 0.7500 0.2500 0.5000  4 Bi 3.07
Sb2 0.0000 0.0000 0.0000  4 Bi 3.07

Results
Size of the total moment, Bohr magnetons per cell: 0.00
Excess energy over the best structure of this formula in the dataset, eV per atom: 0.1291
Crystal system: tetragonal
E_tot, eV per atom: -3.447

The following is a DFT calculation (PBE) of a relaxed Sc2Ga8Ni crystal.

a = 4.1520 Å, b = 4.1520 Å, c = 10.7345 Å
α = 90.00°, β = 90.00°, γ = 90.00°
Last column: nearest neighbours and their distance in Å.
Atoms (fractional coordinates):
Sc1 0.0000 0.0000 0.6900  12 Ga 2.88-2.94
Sc2 0.0000 0.0000 0.3100  12 Ga 2.88-2.94
Ga1 0.0000 0.5000 0.8754  2 Ni 2.47, 1 Ga 2.68
Ga2 0.5000 0.5000 0.6936  8 Ga 2.85-2.94, 4 Sc 2.94
Ga3 0.5000 0.0000 0.1246  2 Ni 2.47, 1 Ga 2.68
Ga4 0.5000 0.0000 0.8754  2 Ni 2.47, 1 Ga 2.68
Ga5 0.5000 0.5000 0.3064  8 Ga 2.85-2.94, 4 Sc 2.94
Ga6 0.5000 0.0000 0.5000  4 Sc 2.91, 8 Ga 2.94
Ga7 0.0000 0.5000 0.1246  2 Ni 2.47, 1 Ga 2.68
Ga8 0.0000 0.5000 0.5000  4 Sc 2.91, 8 Ga 2.94
Ni1 0.0000 0.0000 0.0000  8 Ga 2.47

Results
Size of the total moment, Bohr magnetons per cell: 0.00
ΔE_f, eV per atom: -0.467
Crystal system: tetragonal
E_tot, eV per atom: -4.345

The following is a DFT calculation (PBE) of a relaxed CdTcOs2 crystal.

a = 2.7416 Å, b = 2.7416 Å, c = 9.5307 Å
α = 90.00°, β = 90.00°, γ = 117.46°
Last column: nearest neighbours and their distance in Å.
Atoms (fractional coordinates):
Tc1 0.0000 0.0000 0.4828  2 Os 2.62, 6 Tc 2.74-2.85, 2 Cd 2.92
Cd1 0.5000 0.5000 0.7500  6 Cd 2.74-2.85, 2 Os 2.90, 2 Tc 2.92
Os1 0.0000 0.0000 0.0150  8 Os 2.67-2.85, 2 Cd 2.90
Os2 0.5000 0.5000 0.2522  2 Tc 2.62, 8 Os 2.67-2.85

Results
Size of the total moment, Bohr magnetons per cell: 0.00
ΔE_f, eV per atom: 0.602
Crystal system: orthorhombic
E_tot, eV per atom: -7.834

The following is a DFT calculation (PBE) of a relaxed Zr6TlCd2 crystal.

a = 4.6477 Å, b = 7.1979 Å, c = 7.9443 Å
α = 116.94°, β = 98.16°, γ = 90.00°
Last column: nearest neighbours and their distance in Å.
Atoms (fractional coordinates):
Zr1 0.5000 0.7406 0.0000  2 Cd 2.96, 2 Tl 2.98, 2 Zr 3.03
Zr2 0.1649 0.9158 0.3335  3 Cd 2.94, 1 Tl 2.98, 2 Zr 3.01-3.03
Zr3 0.5000 0.2594 0.0000  2 Cd 2.96, 2 Tl 2.98, 2 Zr 3.03
Zr4 0.8351 0.5823 0.6665  3 Cd 2.94, 1 Tl 2.98, 2 Zr 3.01-3.03
Zr5 0.8351 0.0842 0.6665  3 Cd 2.94, 1 Tl 2.98, 2 Zr 3.01-3.03
Zr6 0.1649 0.4177 0.3335  3 Cd 2.94, 1 Tl 2.98, 2 Zr 3.01-3.03
Tl1 0.0000 0.0000 0.0000  8 Zr 2.98
Cd1 0.6663 0.6697 0.3394  8 Zr 2.94-2.96
Cd2 0.3337 0.3303 0.6606  8 Zr 2.94-2.96

Results
Size of the total moment, Bohr magnetons per cell: 0.00
Excess energy over the best structure of this formula in the dataset, eV per atom: 0.0613
ΔE_f, eV per atom: 0.458
Crystal system: monoclinic
E_tot, eV per atom: -5.707

E_tot of number 2 (InW)? -7.444 eV per atom

What is the size of the total moment in the sixth record? 0.00 Bohr magnetons per cell

Which of these has the highest size of the total moment? ErPuCdBi